No. 1
A plane-wave DFT calculation with GGA-PBE was carried out for crystalline Li2ScGa2Au2 at its relaxed geometry.

Final energy: -53.9 eV per cell
Formation energy from the elements: -594 meV/atom
Total magnetic moment: 0.00 μB/f.u.

Cell lengths 7.8019, 4.4808, 7.3992 Å; angles 90.00, 110.29, 90.00 degrees
Space group C2/m (No. 12)
Asymmetric unit:
Li 0.1395 0.0000 0.4206 x4
Sc 0.0000 0.0000 0.0000 x2
Ga 0.0871 0.5000 0.7631 x4
Au 0.2331 0.5000 0.2006 x4

=====

No. 2
A plane-wave DFT calculation with GGA-PBE was carried out for crystalline LiScGa2Au2 at its relaxed geometry.

Final energy: -24.4 eV per cell
Formation energy from the elements: -596 meV/atom
Total magnetic moment: 0.00 μB/f.u.

Cell lengths 4.4535, 4.4535, 6.1558 Å; angles 90.00, 90.00, 120.00 degrees
Space group P-3m1 (No. 164)
Asymmetric unit:
Li 0.0000 0.0000 0.0000 x1
Sc 0.0000 0.0000 0.5000 x1
Ga 0.3333 0.6667 0.7767 x2
Au 0.3333 0.6667 0.2467 x2

=====

No. 3
A plane-wave DFT calculation with GGA-PBE was carried out for crystalline LiSc2GaAu4 at its relaxed geometry.

Final energy: -108.2 eV per cell
Formation energy from the elements: -671 meV/atom
Total magnetic moment: 0.00 μB/f.u.

Cell lengths 4.6635, 4.6635, 22.9629 Å; angles 90.00, 90.00, 120.00 degrees
Space group R-3m (No. 166, hexagonal axes)
Asymmetric unit:
Li 0.0000 0.0000 0.0000 x3
Sc 0.0000 0.0000 0.2480 x6
Ga 0.0000 0.0000 0.5000 x3
Au 0.0000 0.0000 0.1221 x6
Au 0.0000 0.0000 0.3717 x6

=====

No. 4
A plane-wave DFT calculation with GGA-PBE was carried out for crystalline LiGa2AuSe4 at its relaxed geometry.

Final energy: -120.1 eV per cell
Uncorrected formation energy: -0.61 eV per atom
Total magnetic moment: 0.00 μB/f.u.

Cell lengths 7.9577, 7.9588, 12.4062 Å; angles 90.00, 90.00, 90.00 degrees
Space group Fmm2 (No. 42)
Asymmetric unit:
Li 0.0000 0.0000 0.0000 x4
Ga 0.2500 0.2500 0.2496 x8
Au 0.0000 0.0000 0.4991 x4
Se 0.0000 0.2422 0.8673 x8
Se 0.2428 0.0000 0.1320 x8

=====

No. 5
A plane-wave DFT calculation with GGA-PBE was carried out for crystalline LiGaSiAu2 at its relaxed geometry.

Final energy: -14.8 eV per cell
Uncorrected formation energy: 0.43 eV per atom
Total magnetic moment: 0.00 μB/f.u.

Cell lengths 4.8103, 4.8103, 4.6448 Å; angles 90.00, 90.00, 90.00 degrees
Space group P4/mmm (No. 123)
Asymmetric unit:
Li 0.0000 0.0000 0.0000 x1
Ga 0.0000 0.0000 0.5000 x1
Si 0.5000 0.5000 0.0000 x1
Au 0.0000 0.5000 0.5000 x2

=====

No. 6
A plane-wave DFT calculation with GGA-PBE was carried out for crystalline Li2SmGa2Au2 at its relaxed geometry.

Final energy: -50.7 eV per cell
Formation energy from the elements: -598 meV/atom
Total magnetic moment: 0.00 μB/f.u.

Cell lengths 7.8715, 4.5068, 7.8129 Å; angles 90.00, 108.73, 90.00 degrees
Space group C2/m (No. 12)
Asymmetric unit:
Li 0.1394 0.0000 0.4245 x4
Sm 0.0000 0.0000 0.0000 x2
Ga 0.0693 0.5000 0.7044 x4
Au 0.2418 0.5000 0.2300 x4

=====

No. 7
A plane-wave DFT calculation with GGA-PBE was carried out for crystalline LiSmGa2Au at its relaxed geometry.

Final energy: -37.6 eV per cell
Formation energy from the elements: -567 meV/atom
Total magnetic moment: 0.00 μB/f.u.

Cell lengths 4.2158, 4.2158, 11.0916 Å; angles 90.00, 90.00, 90.00 degrees
Space group I-4m2 (No. 119)
Asymmetric unit:
Li 0.0000 0.0000 0.0000 x2
Sm 0.0000 0.5000 0.7500 x2
Ga 0.0000 0.5000 0.1388 x4
Au 0.0000 0.0000 0.5000 x2

=====

No. 8
A plane-wave DFT calculation with GGA-PBE was carried out for crystalline LiSmGaAu at its relaxed geometry.

Final energy: -60.7 eV per cell
Excess energy over the best structure of this formula in the dataset: 26.0 meV per atom
Formation energy from the elements: -562 meV/atom
Total magnetic moment: 0.00 μB/f.u.

Cell lengths 6.9368, 6.9368, 6.9368 Å; angles 90.00, 90.00, 90.00 degrees
Space group F-43m (No. 216)
Asymmetric unit:
Li 0.0000 0.0000 0.0000 x4
Sm 0.0000 0.0000 0.5000 x4
Ga 0.2500 0.2500 0.2500 x4
Au 0.2500 0.2500 0.7500 x4

=====

No. 9
A plane-wave DFT calculation with GGA-PBE was carried out for crystalline Li2SmGaAu4 at its relaxed geometry.

Final energy: -87.7 eV per cell
Formation energy from the elements: -569 meV/atom
Total magnetic moment: 0.00 μB/f.u.

Cell lengths 4.4780, 4.4780, 26.0249 Å; angles 90.00, 90.00, 120.00 degrees
Space group R-3m (No. 166, hexagonal axes)
Asymmetric unit:
Li 0.0000 0.0000 0.2378 x6
Sm 0.0000 0.0000 0.0000 x3
Ga 0.0000 0.0000 0.5000 x3
Au 0.0000 0.0000 0.1279 x6
Au 0.0000 0.0000 0.3971 x6

=====

No. 10
A plane-wave DFT calculation with GGA-PBE was carried out for crystalline LiSm2Ga3Au4 at its relaxed geometry.

Final energy: -39.8 eV per cell
Formation energy from the elements: -623 meV/atom
Total magnetic moment: 0.00 μB/f.u.

Cell lengths 4.3902, 4.3902, 10.6102 Å; angles 90.00, 90.00, 90.00 degrees
Space group P-4m2 (No. 115)
Asymmetric unit:
Li 0.0000 0.0000 0.0000 x1
Sm 0.0000 0.5000 0.7405 x2
Ga 0.0000 0.5000 0.3645 x2
Ga 0.5000 0.5000 0.0000 x1
Au 0.0000 0.0000 0.5000 x1
Au 0.0000 0.5000 0.1293 x2
Au 0.5000 0.5000 0.5000 x1

=====

No. 11
A plane-wave DFT calculation with GGA-PBE was carried out for crystalline LiSmGa2Au5 at its relaxed geometry.

Final energy: -32.8 eV per cell
Formation energy from the elements: -411 meV/atom
Total magnetic moment: 0.00 μB/f.u.

Cell lengths 4.5980, 4.5980, 8.8373 Å; angles 90.00, 90.00, 90.00 degrees
Space group P4/mmm (No. 123)
Asymmetric unit:
Li 0.0000 0.0000 0.0000 x1
Sm 0.0000 0.0000 0.5000 x1
Ga 0.5000 0.5000 0.1389 x2
Au 0.0000 0.5000 0.2708 x4
Au 0.5000 0.5000 0.5000 x1

=====

No. 12
A plane-wave DFT calculation with GGA-PBE was carried out for crystalline LiSmGaAu at its relaxed geometry.

Final energy: -61.1 eV per cell
Excess energy over the best structure of this formula in the dataset: 0.0 meV per atom
Formation energy from the elements: -588 meV/atom
Total magnetic moment: 0.00 μB/f.u.

Cell lengths 6.7778, 6.7778, 6.7778 Å; angles 90.00, 90.00, 90.00 degrees
Space group F-43m (No. 216)
Asymmetric unit:
Li 0.0000 0.0000 0.0000 x4
Sm 0.2500 0.2500 0.7500 x4
Ga 0.2500 0.2500 0.2500 x4
Au 0.0000 0.0000 0.5000 x4